Record 1
Material: SrLiMg3Cd
Method: DFT, PBE-GGA
State: relaxed

Computed properties:
Energy of formation from the pure elements (eV/atom): -0.050
SG: No. 63

Geometry as POSCAR:
```
SrLiMg3Cd
1.0
-6.180 0.646 2.044
-0.019 -6.436 1.975
2.380 5.217 5.548
Mg Cd Li Sr
6 2 2 2
Cartesian
-2.915 -1.275 7.289
-3.096 -1.499 1.581
-0.904 0.702 2.279
-3.104 -4.291 2.438
-0.014 -4.614 1.416
-0.005 -1.822 0.559
0.111 1.558 5.077
-3.930 -2.131 4.491
-4.255 0.805 2.582
0.436 -1.378 6.986
-3.266 1.639 5.308
-0.553 -2.212 4.260
```


Record 2
Material: Sr2LiMgCd2
Method: DFT, PBE-GGA
State: relaxed

Computed properties:
Energy of formation from the pure elements (eV/atom): -0.231
SG: No. 72

Geometry as POSCAR:
```
Sr2LiMgCd2
1.0
6.683 0.000 0.000
0.000 6.663 0.000
-3.341 -3.332 8.327
Sr Cd Mg Li
4 4 2 2
Cartesian
0.000 1.668 2.855
0.000 -1.663 5.472
3.341 1.663 5.472
3.341 4.995 2.855
0.000 1.660 6.483
3.341 -1.660 6.483
3.341 1.672 1.844
0.000 4.991 1.844
5.012 0.000 0.000
1.671 0.000 0.000
5.012 3.332 0.000
1.671 3.332 0.000
```


Record 3
Material: SrLi6MgCd
Method: DFT, PBE-GGA
State: relaxed

Computed properties:
Energy of formation from the pure elements (eV/atom): 0.062
SG: No. 74

Geometry as POSCAR:
```
SrLi6MgCd
1.0
7.312 0.000 0.000
0.000 10.339 0.000
-3.656 -5.169 6.168
Sr Li Cd Mg
2 12 2 2
Cartesian
3.656 2.585 2.334
0.000 2.585 3.834
1.381 5.305 1.525
-2.275 -0.135 4.643
1.381 -0.135 1.525
-2.275 5.305 4.643
2.275 5.305 4.643
3.656 -2.585 6.146
0.000 -2.585 5.234
5.931 -0.135 1.525
3.656 7.754 0.934
0.000 7.754 0.022
5.931 5.305 1.525
2.275 -0.135 4.643
3.656 5.169 0.000
3.656 0.000 0.000
1.828 -2.585 3.084
-1.828 -2.585 3.084
```


Record 4
Material: SrLi5MgCd2
Method: DFT, PBE-GGA
State: relaxed

Computed properties:
Energy of formation from the pure elements (eV/atom): -0.020
SG: No. 123

Geometry as POSCAR:
```
SrLi5MgCd2
1.0
5.265 0.000 0.000
0.000 5.265 0.000
0.000 0.000 8.062
Cd Li Mg Sr
2 5 1 1
Cartesian
2.633 2.633 6.667
2.633 2.633 1.395
2.633 0.000 1.552
2.633 2.633 4.031
2.633 0.000 6.510
0.000 2.633 1.552
0.000 2.633 6.510
0.000 0.000 0.000
0.000 0.000 4.031
```


- Which value of energy of formation from the pure elements does entry 2 give?
  -0.231 eV/atom


- Number 2 is which compound?
  Sr2LiMgCd2